1.
{"formula": "FeMo2Se", "functional": "GGA-PBE", "state": "relaxed", "formation_energy_uncorrected_kcal_per_mol_atoms": 7.711, "vol_a3_per_atom": 14.64, "lattice_angstrom": [[2.856, 0.000, 0.000], [0.000, 3.955, 0.000], [-1.241, 0.000, 5.184]], "species": ["Fe", "Mo", "Mo", "Se"], "frac_coords": [[0.000, 0.000, 0.000], [0.477, 0.500, 0.761], [0.523, 0.500, 0.239], [0.000, 0.000, 0.500]]}

***

2.
{"formula": "PmSm4Ho10", "functional": "GGA-PBE", "state": "relaxed", "vol_a3_per_atom": 38.10, "e_form_ev_per_atom": 0.755, "lattice_angstrom": [[-6.091, 6.091, 3.851], [6.091, -6.091, 3.851], [6.091, 6.091, -3.851]], "species": ["Pm", "Sm", "Sm", "Sm", "Sm", "Ho", "Ho", "Ho", "Ho", "Ho", "Ho", "Ho", "Ho", "Ho", "Ho"], "frac_coords": [[0.000, 0.000, 0.000], [0.201, 0.601, 0.801], [0.399, 0.201, 0.600], [0.601, 0.799, 0.400], [0.799, 0.399, 0.199], [0.050, 0.151, 0.700], [0.151, 0.451, 0.101], [0.250, 0.750, 0.500], [0.350, 0.050, 0.899], [0.451, 0.350, 0.300], [0.549, 0.650, 0.700], [0.650, 0.950, 0.101], [0.750, 0.250, 0.500], [0.849, 0.549, 0.899], [0.950, 0.849, 0.300]]}

***

3.
{"formula": "LiCe2ScTl4", "functional": "GGA-PBE", "state": "relaxed", "vol_a3_per_atom": 26.41, "e_form_ev_per_atom": -0.249, "lattice_angstrom": [[2.641, 1.525, 8.748], [-2.641, 1.525, 8.748], [0.000, -3.049, 8.748]], "species": ["Li", "Ce", "Ce", "Sc", "Tl", "Tl", "Tl", "Tl"], "frac_coords": [[0.000, 0.000, 0.000], [0.252, 0.252, 0.252], [0.748, 0.748, 0.748], [0.500, 0.500, 0.500], [0.124, 0.124, 0.124], [0.374, 0.374, 0.374], [0.626, 0.626, 0.626], [0.876, 0.876, 0.876]]}

***

4.
{"formula": "KPb3F", "functional": "GGA-PBE", "state": "relaxed", "formation_energy_uncorrected_kcal_per_mol_atoms": 16.471, "vol_a3_per_atom": 46.40, "de_polymorph_ev_per_atom": 1.220, "lattice_angstrom": [[6.145, 0.000, 0.000], [0.000, 6.145, 0.000], [0.000, 0.000, 6.145]], "species": ["K", "Pb", "Pb", "Pb", "F"], "frac_coords": [[0.000, 0.000, 0.000], [0.000, 0.000, 0.500], [0.000, 0.500, 0.000], [0.500, 0.000, 0.000], [0.500, 0.500, 0.500]]}

***

5.
{"formula": "YGa2Ge", "functional": "GGA-PBE", "state": "relaxed", "vol_a3_per_atom": 22.07, "e_form_ev_per_atom": -0.332, "lattice_angstrom": [[2.919, -3.289, 0.000], [2.919, 3.289, 0.000], [0.000, 0.000, 4.599]], "species": ["Y", "Ga", "Ga", "Ge"], "frac_coords": [[0.000, 0.000, 0.000], [0.293, 0.707, 0.500], [0.707, 0.293, 0.500], [0.500, 0.500, 0.000]]}

***

6.
{"formula": "Ce6Tl2Zn", "functional": "GGA-PBE", "state": "relaxed", "vol_a3_per_atom": 24.36, "e_form_ev_per_atom": -0.098, "lattice_angstrom": [[9.105, 0.000, 0.000], [-4.553, 7.885, 0.000], [0.000, 0.000, 3.053]], "species": ["Ce", "Ce", "Ce", "Ce", "Ce", "Ce", "Tl", "Tl", "Zn"], "frac_coords": [[0.000, 0.314, 0.000], [0.000, 0.686, 0.000], [0.314, 0.000, 0.000], [0.314, 0.314, 0.000], [0.686, 0.000, 0.000], [0.686, 0.686, 0.000], [0.333, 0.667, 0.500], [0.667, 0.333, 0.500], [0.000, 0.000, 0.500]]}

***

7.
{"formula": "Zn3HgC", "functional": "GGA-PBE", "state": "relaxed", "vol_a3_per_atom": 15.78, "e_form_ev_per_atom": 0.564, "de_polymorph_ev_per_atom": 0.000, "lattice_angstrom": [[4.289, 0.000, 0.000], [0.000, 4.289, 0.000], [0.000, 0.000, 4.289]], "species": ["Zn", "Zn", "Zn", "Hg", "C"], "frac_coords": [[0.000, 0.000, 0.500], [0.000, 0.500, 0.000], [0.500, 0.000, 0.000], [0.500, 0.500, 0.500], [0.000, 0.000, 0.000]]}

***

8.
{"formula": "Pm12InPb3", "functional": "GGA-PBE", "state": "relaxed", "vol_a3_per_atom": 30.53, "e_form_ev_per_atom": -0.321, "lattice_angstrom": [[4.965, 0.000, 0.000], [0.000, 4.965, 0.000], [0.000, 0.000, 19.820]], "species": ["Pm", "Pm", "Pm", "Pm", "Pm", "Pm", "Pm", "Pm", "Pm", "Pm", "Pm", "Pm", "In", "Pb", "Pb", "Pb"], "frac_coords": [[0.000, 0.000, 0.000], [0.000, 0.000, 0.250], [0.000, 0.000, 0.500], [0.000, 0.000, 0.750], [0.000, 0.500, 0.125], [0.000, 0.500, 0.375], [0.000, 0.500, 0.625], [0.000, 0.500, 0.875], [0.500, 0.000, 0.125], [0.500, 0.000, 0.375], [0.500, 0.000, 0.625], [0.500, 0.000, 0.875], [0.500, 0.500, 0.000], [0.500, 0.500, 0.249], [0.500, 0.500, 0.500], [0.500, 0.500, 0.751]]}

***

9.
{"formula": "HgSbPbI2", "functional": "GGA-PBE", "state": "relaxed", "formation_energy_uncorrected_kcal_per_mol_atoms": 5.838, "vol_a3_per_atom": 47.77, "de_polymorph_ev_per_atom": 0.078, "lattice_angstrom": [[6.292, 0.000, 0.000], [0.000, 6.292, 0.000], [0.000, 0.000, 6.033]], "species": ["Hg", "Sb", "Pb", "I", "I"], "frac_coords": [[0.000, 0.000, 0.000], [0.500, 0.500, 0.000], [0.000, 0.000, 0.500], [0.000, 0.500, 0.500], [0.500, 0.000, 0.500]]}

***

10.
{"formula": "YAu2F2", "functional": "GGA-PBE", "state": "relaxed", "formation_energy_uncorrected_kcal_per_mol_atoms": -25.719, "vol_a3_per_atom": 17.67, "de_polymorph_ev_per_atom": 0.000, "lattice_angstrom": [[-1.954, 1.954, 5.786], [1.954, -1.954, 5.786], [1.954, 1.954, -5.786]], "species": ["Y", "Au", "Au", "F", "F"], "frac_coords": [[0.000, 0.000, 0.000], [0.381, 0.381, 0.000], [0.619, 0.619, 0.000], [0.250, 0.750, 0.500], [0.750, 0.250, 0.500]]}

***

11.
{"formula": "Nd6Sm2Zn", "functional": "GGA-PBE", "state": "relaxed", "vol_a3_per_atom": 33.02, "e_form_ev_per_atom": -0.042, "de_polymorph_ev_per_atom": 0.000, "lattice_angstrom": [[9.586, 0.000, 0.000], [-4.793, 8.302, 0.000], [0.000, 0.000, 3.734]], "species": ["Nd", "Nd", "Nd", "Nd", "Nd", "Nd", "Sm", "Sm", "Zn"], "frac_coords": [[0.000, 0.380, 0.000], [0.000, 0.740, 0.500], [0.260, 0.260, 0.500], [0.380, 0.000, 0.000], [0.620, 0.620, 0.000], [0.740, 0.000, 0.500], [0.333, 0.667, 0.500], [0.667, 0.333, 0.500], [0.000, 0.000, 0.000]]}

***

12.
{"formula": "KCaSb2", "functional": "GGA-PBE", "state": "relaxed", "formation_energy_uncorrected_kcal_per_mol_atoms": -4.233, "vol_a3_per_atom": 31.59, "de_polymorph_ev_per_atom": 0.457, "lattice_angstrom": [[0.000, 3.983, 3.983], [3.983, 0.000, 3.983], [3.983, 3.983, 0.000]], "species": ["K", "Ca", "Sb", "Sb"], "frac_coords": [[0.000, 0.000, 0.000], [0.750, 0.750, 0.750], [0.250, 0.250, 0.250], [0.500, 0.500, 0.500]]}

***

13.
{"formula": "TiTePbO6", "functional": "GGA-PBE", "state": "relaxed", "formation_energy_uncorrected_kcal_per_mol_atoms": -40.733, "vol_a3_per_atom": 14.56, "lattice_angstrom": [[5.281, 0.000, 0.000], [-2.640, 4.573, 0.000], [0.000, 0.000, 10.855]], "species": ["Ti", "Ti", "Te", "Te", "Pb", "Pb", "O", "O", "O", "O", "O", "O", "O", "O", "O", "O", "O", "O"], "frac_coords": [[0.333, 0.667, 0.250], [0.667, 0.333, 0.750], [0.333, 0.667, 0.750], [0.667, 0.333, 0.250], [0.000, 0.000, 0.000], [0.000, 0.000, 0.500], [0.004, 0.387, 0.649], [0.004, 0.618, 0.851], [0.382, 0.387, 0.851], [0.382, 0.996, 0.649], [0.387, 0.004, 0.149], [0.387, 0.382, 0.351], [0.613, 0.618, 0.649], [0.613, 0.996, 0.851], [0.618, 0.004, 0.351], [0.618, 0.613, 0.149], [0.996, 0.382, 0.149], [0.996, 0.613, 0.351]]}

***

14.
{"formula": "YSc2Mo", "functional": "GGA-PBE", "state": "relaxed", "vol_a3_per_atom": 23.25, "e_form_ev_per_atom": 0.272, "de_polymorph_ev_per_atom": 0.129, "lattice_angstrom": [[1.846, -2.532, 0.000], [1.846, 2.532, 0.000], [0.000, 0.000, 9.949]], "species": ["Y", "Sc", "Sc", "Mo"], "frac_coords": [[0.000, 0.000, 0.000], [0.000, 0.000, 0.571], [0.500, 0.500, 0.301], [0.500, 0.500, 0.774]]}

***

15.
{"formula": "Tl6Fe3Cl14", "functional": "GGA-PBE", "state": "relaxed", "formation_energy_uncorrected_kcal_per_mol_atoms": -21.574, "vol_a3_per_atom": 31.85, "lattice_angstrom": [[11.476, 0.000, 0.000], [-5.738, 9.939, 0.000], [0.000, 0.000, 6.422]], "species": ["Tl", "Tl", "Tl", "Tl", "Tl", "Tl", "Fe", "Fe", "Fe", "Cl", "Cl", "Cl", "Cl", "Cl", "Cl", "Cl", "Cl", "Cl", "Cl", "Cl", "Cl", "Cl", "Cl"], "frac_coords": [[0.019, 0.456, 0.000], [0.310, 0.214, 0.495], [0.438, 0.981, 0.000], [0.544, 0.562, 0.000], [0.786, 0.096, 0.495], [0.904, 0.690, 0.495], [0.000, 0.000, 0.060], [0.333, 0.667, 0.575], [0.667, 0.333, 0.718], [0.000, 0.000, 0.713], [0.066, 0.207, 0.183], [0.140, 0.934, 0.183], [0.200, 0.742, 0.699], [0.258, 0.459, 0.699], [0.333, 0.667, 0.229], [0.464, 0.262, 0.934], [0.532, 0.130, 0.510], [0.541, 0.800, 0.699], [0.598, 0.468, 0.510], [0.738, 0.202, 0.934], [0.793, 0.860, 0.183], [0.798, 0.536, 0.934], [0.870, 0.402, 0.510]]}

***

16.
{"formula": "CaNpZnN3", "functional": "GGA-PBE", "state": "relaxed", "formation_energy_uncorrected_kcal_per_mol_atoms": -18.223, "vol_a3_per_atom": 14.75, "lattice_angstrom": [[6.066, 0.000, 0.000], [0.000, 3.544, 0.000], [-1.816, 0.000, 8.236]], "species": ["Ca", "Ca", "Np", "Np", "Zn", "Zn", "N", "N", "N", "N", "N", "N"], "frac_coords": [[0.137, 0.250, 0.188], [0.863, 0.750, 0.812], [0.367, 0.250, 0.830], [0.633, 0.750, 0.170], [0.180, 0.750, 0.542], [0.820, 0.250, 0.458], [0.029, 0.250, 0.671], [0.286, 0.750, 0.991], [0.463, 0.750, 0.706], [0.537, 0.250, 0.294], [0.714, 0.250, 0.009], [0.971, 0.750, 0.329]]}

***

17.
{"formula": "K2CaGaBr5", "functional": "GGA-PBE", "state": "relaxed", "formation_energy_uncorrected_kcal_per_mol_atoms": -35.875, "vol_a3_per_atom": 36.38, "lattice_angstrom": [[2.227, -9.602, 0.000], [2.227, 9.602, 0.000], [0.000, 0.000, 15.315]], "species": ["K", "K", "K", "K", "Ca", "Ca", "Ga", "Ga", "Br", "Br", "Br", "Br", "Br", "Br", "Br", "Br", "Br", "Br"], "frac_coords": [[0.077, 0.923, 0.500], [0.131, 0.869, 0.153], [0.869, 0.131, 0.653], [0.923, 0.077, 0.000], [0.234, 0.766, 0.886], [0.766, 0.234, 0.386], [0.447, 0.553, 0.300], [0.553, 0.447, 0.800], [0.088, 0.912, 0.926], [0.250, 0.750, 0.515], [0.290, 0.710, 0.262], [0.381, 0.619, 0.842], [0.497, 0.503, 0.619], [0.503, 0.497, 0.119], [0.619, 0.381, 0.342], [0.710, 0.290, 0.762], [0.750, 0.250, 0.015], [0.912, 0.088, 0.426]]}

***

18.
{"formula": "BPdS3", "functional": "GGA-PBE", "state": "relaxed", "formation_energy_uncorrected_kcal_per_mol_atoms": 33.126, "vol_a3_per_atom": 20.97, "de_polymorph_ev_per_atom": 1.563, "lattice_angstrom": [[4.715, 0.000, 0.000], [0.000, 4.715, 0.000], [0.000, 0.000, 4.715]], "species": ["B", "Pd", "S", "S", "S"], "frac_coords": [[0.000, 0.000, 0.000], [0.500, 0.500, 0.500], [0.000, 0.500, 0.500], [0.500, 0.000, 0.500], [0.500, 0.500, 0.000]]}

***

19.
{"formula": "Y3Th5N12", "functional": "GGA-PBE", "state": "relaxed", "formation_energy_uncorrected_kcal_per_mol_atoms": -18.078, "vol_a3_per_atom": 17.28, "lattice_angstrom": [[-7.018, 7.018, 7.018], [7.018, -7.018, 7.018], [7.018, 7.018, -7.018]], "species": ["Y", "Y", "Y", "Y", "Y", "Y", "Y", "Y", "Y", "Y", "Y", "Y", "Th", "Th", "Th", "Th", "Th", "Th", "Th", "Th", "Th", "Th", "Th", "Th", "Th", "Th", "Th", "Th", "Th", "Th", "Th", "Th", "N", "N", "N", "N", "N", "N", "N", "N", "N", "N", "N", "N", "N", "N", "N", "N", "N", "N", "N", "N", "N", "N", "N", "N", "N", "N", "N", "N", "N", "N", "N", "N", "N", "N", "N", "N", "N", "N", "N", "N", "N", "N", "N", "N", "N", "N", "N", "N"], "frac_coords": [[0.125, 0.250, 0.375], [0.125, 0.375, 0.750], [0.250, 0.375, 0.125], [0.250, 0.875, 0.625], [0.375, 0.125, 0.250], [0.375, 0.750, 0.125], [0.625, 0.250, 0.875], [0.625, 0.875, 0.750], [0.750, 0.125, 0.375], [0.750, 0.625, 0.875], [0.875, 0.625, 0.250], [0.875, 0.750, 0.625], [0.000, 0.000, 0.000], [0.000, 0.000, 0.500], [0.000, 0.500, 0.000], [0.000, 0.500, 0.500], [0.125, 0.750, 0.875], [0.125, 0.875, 0.250], [0.250, 0.125, 0.875], [0.250, 0.625, 0.375], [0.375, 0.250, 0.625], [0.375, 0.625, 0.750], [0.500, 0.000, 0.000], [0.500, 0.000, 0.500], [0.500, 0.500, 0.000], [0.500, 0.500, 0.500], [0.625, 0.375, 0.250], [0.625, 0.750, 0.375], [0.750, 0.375, 0.625], [0.750, 0.875, 0.125], [0.875, 0.125, 0.750], [0.875, 0.250, 0.125], [0.047, 0.219, 0.138], [0.047, 0.328, 0.909], [0.081, 0.719, 0.672], [0.081, 0.862, 0.409], [0.091, 0.638, 0.419], [0.091, 0.953, 0.672], [0.138, 0.047, 0.219], [0.138, 0.591, 0.919], [0.172, 0.219, 0.581], [0.172, 0.453, 0.591], [0.219, 0.138, 0.047], [0.219, 0.581, 0.172], [0.281, 0.328, 0.919], [0.281, 0.453, 0.362], [0.328, 0.909, 0.047], [0.328, 0.919, 0.281], [0.362, 0.281, 0.453], [0.362, 0.581, 0.909], [0.409, 0.081, 0.862], [0.409, 0.828, 0.547], [0.419, 0.091, 0.638], [0.419, 0.828, 0.781], [0.453, 0.362, 0.281], [0.453, 0.591, 0.172], [0.547, 0.409, 0.828], [0.547, 0.638, 0.719], [0.581, 0.172, 0.219], [0.581, 0.909, 0.362], [0.591, 0.172, 0.453], [0.591, 0.919, 0.138], [0.638, 0.419, 0.091], [0.638, 0.719, 0.547], [0.672, 0.081, 0.719], [0.672, 0.091, 0.953], [0.719, 0.547, 0.638], [0.719, 0.672, 0.081], [0.781, 0.419, 0.828], [0.781, 0.862, 0.953], [0.828, 0.547, 0.409], [0.828, 0.781, 0.419], [0.862, 0.409, 0.081], [0.862, 0.953, 0.781], [0.909, 0.047, 0.328], [0.909, 0.362, 0.581], [0.919, 0.138, 0.591], [0.919, 0.281, 0.328], [0.953, 0.672, 0.091], [0.953, 0.781, 0.862]]}

***

20.
{"formula": "Ti4TlHg", "functional": "GGA-PBE", "state": "relaxed", "vol_a3_per_atom": 18.68, "e_form_ev_per_atom": -0.014, "lattice_angstrom": [[2.334, -5.123, 0.000], [2.334, 5.123, 0.000], [0.000, 0.000, 4.686]], "species": ["Ti", "Ti", "Ti", "Ti", "Tl", "Hg"], "frac_coords": [[0.174, 0.826, 0.000], [0.326, 0.674, 0.500], [0.674, 0.326, 0.500], [0.826, 0.174, 0.000], [0.000, 0.000, 0.500], [0.500, 0.500, 0.000]]}